Entry 1:
{"formula": "Ho3Ni5H12", "functional": "PBE-GGA", "state": "relaxed", "lattice": [[-0.359, 8.505, -4.647], [3.474, -6.804, -5.975], [-8.919, -2.484, 2.891]], "species": ["H", "Ho", "Ni", "H", "H", "H", "H", "Ni", "Ho", "H", "Ho", "H", "H", "Ni", "Ni", "H", "Ni", "Ho", "H", "Ni", "Ni", "Ni", "Ni", "Ho", "H", "H", "Ho", "Ni", "Ni", "H", "Ni", "H", "Ni", "Ho", "H", "Ho", "Ni", "H", "H", "H", "H", "H", "Ni", "H", "H", "H", "H", "H", "H", "H", "H", "H", "Ho", "H", "Ho", "H", "H", "H", "H", "H", "H", "H", "Ho", "Ni", "H", "Ni", "H", "Ho", "H", "Ni", "H", "H", "Ni", "H", "H", "H", "H", "H", "H", "Ni"], "frac_coords": [[0.322, 0.810, 0.417], [0.875, 0.125, 0.250], [0.875, 0.250, 0.625], [0.393, 0.405, 0.083], [0.988, 0.393, 0.310], [0.893, 0.583, 0.905], [0.810, 0.488, 0.393], [0.375, 0.250, 0.125], [0.875, 0.750, 0.125], [0.512, 0.190, 0.107], [0.250, 0.125, 0.375], [0.083, 0.178, 0.190], [0.178, 0.095, 0.988], [0.000, 0.000, 0.000], [0.250, 0.375, 0.625], [0.678, 0.488, 0.595], [0.500, 0.000, 0.500], [0.250, 0.625, 0.875], [0.822, 0.917, 0.310], [0.125, 0.375, 0.250], [0.625, 0.750, 0.875], [0.125, 0.750, 0.375], [0.375, 0.125, 0.750], [0.125, 0.250, 0.875], [0.690, 0.107, 0.012], [0.583, 0.690, 0.678], [0.375, 0.750, 0.625], [0.000, 0.000, 0.500], [0.500, 0.000, 0.000], [0.322, 0.512, 0.405], [0.750, 0.625, 0.375], [0.607, 0.595, 0.917], [0.500, 0.500, 0.500], [0.375, 0.625, 0.250], [0.095, 0.178, 0.488], [0.750, 0.375, 0.125], [0.750, 0.125, 0.875], [0.905, 0.822, 0.512], [0.583, 0.893, 0.405], [0.488, 0.810, 0.893], [0.810, 0.322, 0.917], [0.917, 0.095, 0.607], [0.625, 0.875, 0.250], [0.190, 0.678, 0.083], [0.417, 0.107, 0.595], [0.310, 0.417, 0.822], [0.678, 0.190, 0.583], [0.178, 0.083, 0.690], [0.405, 0.012, 0.322], [0.107, 0.690, 0.512], [0.822, 0.905, 0.012], [0.405, 0.393, 0.583], [0.625, 0.250, 0.375], [0.417, 0.310, 0.322], [0.750, 0.875, 0.625], [0.488, 0.678, 0.095], [0.095, 0.917, 0.107], [0.595, 0.607, 0.417], [0.012, 0.607, 0.690], [0.512, 0.322, 0.905], [0.905, 0.083, 0.893], [0.893, 0.310, 0.488], [0.125, 0.875, 0.750], [0.875, 0.625, 0.750], [0.917, 0.822, 0.810], [0.500, 0.500, 0.000], [0.310, 0.893, 0.988], [0.625, 0.375, 0.750], [0.083, 0.905, 0.393], [0.250, 0.875, 0.125], [0.607, 0.012, 0.190], [0.595, 0.988, 0.678], [0.000, 0.500, 0.000], [0.988, 0.595, 0.178], [0.012, 0.405, 0.822], [0.393, 0.988, 0.810], [0.107, 0.417, 0.095], [0.190, 0.512, 0.607], [0.690, 0.583, 0.178], [0.000, 0.500, 0.500]], "m_tot_mub_per_cell": 0.0, "dos_ef_per_ev_atom": 0.326, "dft_energy_ev_per_cell": -354.348}



Entry 2:
{"formula": "HoNi2PH", "functional": "PBE-GGA", "state": "relaxed", "lattice": [[3.704, 0.000, 0.000], [-1.852, 4.973, 0.000], [0.000, 0.000, 6.600]], "species": ["Ni", "Ni", "Ho", "Ho", "P", "H", "H", "Ni", "P", "Ni"], "frac_coords": [[0.165, 0.330, 0.941], [0.165, 0.330, 0.559], [0.559, 0.118, 0.250], [0.441, 0.882, 0.750], [0.276, 0.552, 0.250], [0.000, 0.000, 0.500], [0.000, 0.000, 0.000], [0.835, 0.670, 0.441], [0.724, 0.448, 0.750], [0.835, 0.670, 0.059]], "m_tot_mub_per_cell": 0.0, "dos_ef_per_ev_atom": 0.411, "dft_energy_ev_per_cell": -58.104}



Entry 3:
{"formula": "HoNi2H8Pd", "functional": "PBE-GGA", "state": "relaxed", "lattice": [[4.608, 0.000, 0.000], [-2.304, 3.991, 0.000], [0.000, 0.000, 6.045]], "species": ["H", "Pd", "H", "H", "H", "H", "Ni", "H", "H", "Ho", "Ni", "H"], "frac_coords": [[0.831, 0.662, 0.181], [0.000, 0.000, 0.000], [0.333, 0.667, 0.406], [0.169, 0.338, 0.819], [0.169, 0.831, 0.819], [0.662, 0.831, 0.819], [0.667, 0.333, 0.340], [0.667, 0.333, 0.594], [0.831, 0.169, 0.181], [0.000, 0.000, 0.500], [0.333, 0.667, 0.660], [0.338, 0.169, 0.181]], "m_tot_mub_per_cell": 0.0, "dos_ef_per_ev_atom": 0.315, "dft_energy_ev_per_cell": -48.974}



Entry 4:
{"formula": "PmHoNi2H8", "functional": "PBE-GGA", "state": "relaxed", "lattice": [[4.451, 0.000, 0.000], [2.225, 3.854, 0.000], [2.225, 1.285, 6.271]], "species": ["H", "H", "H", "Ni", "Ni", "H", "Ho", "H", "Pm", "H", "H", "H"], "frac_coords": [[0.538, 0.091, 0.833], [0.909, 0.462, 0.167], [0.158, 0.158, 0.527], [0.757, 0.757, 0.729], [0.243, 0.243, 0.271], [0.091, 0.538, 0.833], [0.000, 0.000, 0.000], [0.538, 0.538, 0.833], [0.500, 0.500, 0.500], [0.462, 0.462, 0.167], [0.462, 0.909, 0.167], [0.842, 0.842, 0.473]], "m_tot_mub_per_cell": 0.0, "dos_ef_per_ev_atom": 0.252, "dft_energy_ev_per_cell": -51.433}



Entry 5:
{"formula": "Ho2NiHPt6", "functional": "PBE-GGA", "state": "relaxed", "lattice": [[5.549, 0.018, -0.018], [-0.025, 6.911, -0.938], [2.779, 2.771, 3.924]], "species": ["Pt", "Pt", "Ho", "Ho", "Ni", "Pt", "Pt", "Pt", "H", "Pt"], "frac_coords": [[0.267, 0.308, 0.959], [0.773, 0.308, 0.960], [0.710, 0.130, 0.580], [0.290, 0.870, 0.420], [0.000, 0.000, 0.000], [0.733, 0.692, 0.041], [0.733, 0.692, 0.535], [0.227, 0.692, 0.040], [0.500, 0.500, 0.000], [0.267, 0.308, 0.465]], "m_tot_mub_per_cell": 0.0, "dos_ef_per_ev_atom": 0.452, "dft_energy_ev_per_cell": -61.820}



Entry 6:
{"formula": "HoSiNi2H", "functional": "PBE-GGA", "state": "relaxed", "lattice": [[3.704, 0.000, 0.000], [-1.852, 5.081, 0.000], [0.000, 0.000, 6.694]], "species": ["H", "Ni", "Ni", "Ni", "Si", "Si", "Ho", "Ni", "H", "Ho"], "frac_coords": [[0.000, 0.000, 0.500], [0.165, 0.330, 0.558], [0.165, 0.330, 0.942], [0.835, 0.670, 0.058], [0.724, 0.447, 0.750], [0.276, 0.553, 0.250], [0.559, 0.118, 0.250], [0.835, 0.670, 0.442], [0.000, 0.000, 0.000], [0.441, 0.882, 0.750]], "m_tot_mub_per_cell": 0.0, "dos_ef_per_ev_atom": 0.324, "dft_energy_ev_per_cell": -57.117}